(1)
First-principles (PBE-GGA) data for crystalline SiTc2B at its relaxed geometry, as listed in the Alexandria database.

Properties
- V (Å³/atom) = 13.03
- total magnetic moment (μB/f.u.) = 0.0
- symmetry = I-42d, No. 122
- energy above the lowest structure with this stoichiometry (eV per formula unit) = 1.23

Cell lengths 6.8569, 6.8569, 5.3315 Å; angles 49.98, 49.98, 90.00 degrees
Last column: nearest neighbours and their distance in Å.
Sites, in units of the cell vectors:
Si (0.0000, 0.0000, 0.0000)  2 B 2.22
Si (0.7500, 0.2500, 0.5000)  2 B 2.22
B (0.5000, 0.5000, 0.0000)  4 Tc 2.09, 2 Si 2.22
B (0.2500, 0.7500, 0.5000)  4 Tc 2.09, 2 Si 2.22
Tc (0.5298, 0.1250, 0.2500)  2 B 2.09
Tc (0.2202, 0.6250, 0.2500)  2 B 2.09
Tc (0.3750, 0.4702, 0.7500)  2 B 2.09
Tc (0.8750, 0.7798, 0.7500)  2 B 2.09



(2)
First-principles (PBE-GGA) data for crystalline SiTcB2 at its relaxed geometry, as listed in the Alexandria database.

Properties
- V (Å³/atom) = 13.18
- E (eV per atom) = -6.6906
- total magnetic moment (μB/f.u.) = 0.0
- symmetry = I-42d, No. 122

Cell lengths 4.8668, 4.8668, 5.6272 Å; angles 64.38, 64.38, 90.00 degrees
Last column: nearest neighbours and their distance in Å.
Sites, in units of the cell vectors:
Si (0.5000, 0.5000, 0.0000)  4 B 2.05
Si (0.2500, 0.7500, 0.5000)  4 B 2.05
B (0.6243, 0.1250, 0.2500)  2 Si 2.05, 2 Tc 2.05
B (0.1257, 0.6250, 0.2500)  2 Si 2.05, 2 Tc 2.05
B (0.3750, 0.3757, 0.7500)  2 Si 2.05, 2 Tc 2.05
B (0.8750, 0.8743, 0.7500)  2 Si 2.05, 2 Tc 2.05
Tc (0.0000, 0.0000, 0.0000)  4 B 2.05
Tc (0.7500, 0.2500, 0.5000)  4 B 2.05



(3)
First-principles (PBE-GGA) data for crystalline SiTc6B2 at its relaxed geometry, as listed in the Alexandria database.

Properties
- V (Å³/atom) = 12.26
- E (eV per atom) = -9.3200
- total magnetic moment (μB/f.u.) = 0.0
- symmetry = Immm, No. 71

Cell lengths 6.6047, 6.6047, 6.6047 Å; angles 104.98, 110.47, 113.06 degrees
Last column: nearest neighbours and their distance in Å.
Sites, in units of the cell vectors:
Si (0.0000, 0.5000, 0.5000)  12 Tc 2.52-2.81
Si (0.0000, 0.0000, 0.0000)  8 Tc 2.41-2.55, 2 B 2.56
Tc (0.5221, 0.7086, 0.8135)  3 B 2.27-2.41
Tc (0.4779, 0.2914, 0.1865)  3 B 2.27-2.41
Tc (0.1048, 0.2914, 0.8135)  3 B 2.27-2.41
Tc (0.8952, 0.7086, 0.1865)  3 B 2.27-2.41
Tc (0.8113, 0.7584, 0.5697)  1 B 2.25, 2 Si 2.41-2.52
Tc (0.1887, 0.2416, 0.4303)  1 B 2.25, 2 Si 2.41-2.52
Tc (0.1887, 0.7584, 0.9471)  1 B 2.25, 2 Si 2.41-2.52
Tc (0.8113, 0.2416, 0.0529)  1 B 2.25, 2 Si 2.41-2.52
Tc (0.6961, 0.3717, 0.6756)  3 B 2.20-2.35
Tc (0.3039, 0.6283, 0.3244)  3 B 2.20-2.35
Tc (0.3039, 0.9795, 0.6756)  3 B 2.20-2.35
Tc (0.6961, 0.0205, 0.3244)  3 B 2.20-2.35
B (0.5000, 0.3838, 0.8838)  1 B 1.87
B (0.5000, 0.6162, 0.1162)  1 B 1.87
B (0.6607, 0.0000, 0.6607)  8 Tc 2.25-2.41, 1 B 2.42
B (0.3393, 0.0000, 0.3393)  8 Tc 2.25-2.41, 1 B 2.42



(4)
First-principles (PBE-GGA) data for crystalline SiTc8B2 at its relaxed geometry, as listed in the Alexandria database.

Properties
- V (Å³/atom) = 13.06
- total magnetic moment (μB/f.u.) = 0.0
- symmetry = C2/m, No. 12
- energy above the lowest structure with this stoichiometry (eV per formula unit) = 0.00

Cell lengths 4.4733, 6.0330, 6.0330 Å; angles 112.86, 99.15, 99.15 degrees
Last column: nearest neighbours and their distance in Å.
Sites, in units of the cell vectors:
Si (0.5000, 0.0000, 0.0000)  4 Tc 2.45-2.47
Tc (0.8919, 0.9219, 0.6656)  2 B 2.23-2.29
Tc (0.8919, 0.6656, 0.9219)  2 B 2.23-2.29
Tc (0.3116, 0.6145, 0.6145)  2 B 2.33, 1 Si 2.47, 1 Tc 2.58
Tc (0.5000, 0.7565, 0.2435)  2 B 2.35, 1 Si 2.45, 2 Tc 2.57
Tc (0.5000, 0.2435, 0.7565)  2 B 2.35, 1 Si 2.45, 2 Tc 2.57
Tc (0.6884, 0.3855, 0.3855)  2 B 2.33, 1 Si 2.47, 1 Tc 2.58
Tc (0.1081, 0.3344, 0.0781)  2 B 2.23-2.29
Tc (0.1081, 0.0781, 0.3344)  2 B 2.23-2.29
B (0.0000, 0.3140, 0.6859)  8 Tc 2.23-2.35
B (0.0000, 0.6859, 0.3140)  8 Tc 2.23-2.35



(5)
First-principles (PBE-GGA) data for crystalline SiTc2B at its relaxed geometry, as listed in the Alexandria database.

Properties
- V (Å³/atom) = 12.09
- total magnetic moment (μB/f.u.) = 0.0
- symmetry = P2_1/m, No. 11
- energy above the lowest structure with this stoichiometry (eV per formula unit) = 0.00

Cell lengths 2.9580, 5.3552, 6.2090 Å; angles 100.36, 90.00, 90.00 degrees
Last column: nearest neighbours and their distance in Å.
Sites, in units of the cell vectors:
Si (0.7500, 0.0831, 0.8263)  2 B 2.16, 1 Tc 2.40
Si (0.2500, 0.9169, 0.1737)  2 B 2.16, 1 Tc 2.40
Tc (0.7500, 0.2783, 0.4859)  2 B 2.22
Tc (0.2500, 0.7217, 0.5141)  2 B 2.22
Tc (0.7500, 0.6510, 0.8806)  3 B 2.22-2.26, 1 Si 2.40
Tc (0.2500, 0.3490, 0.1194)  3 B 2.22-2.26, 1 Si 2.40
B (0.7500, 0.6499, 0.2444)  2 Si 2.16, 5 Tc 2.22-2.26
B (0.2500, 0.3501, 0.7556)  2 Si 2.16, 5 Tc 2.22-2.26



(6)
First-principles (PBE-GGA) data for crystalline SiTcB at its relaxed geometry, as listed in the Alexandria database.

Properties
- V (Å³/atom) = 11.85
- E (eV per atom) = -7.2959
- total magnetic moment (μB/f.u.) = 0.0
- symmetry = Fddd, No. 70

Cell lengths 5.3812, 5.3812, 6.0524 Å; angles 108.14, 108.14, 107.45 degrees
Last column: nearest neighbours and their distance in Å.
Sites, in units of the cell vectors:
Si (0.1789, 0.1789, 0.3579)  2 B 2.05
Si (0.8211, 0.8211, 0.6421)  2 B 2.05
Si (0.0711, 0.5711, 0.1421)  2 B 2.05
Si (0.4289, 0.9289, 0.8579)  2 B 2.05
Tc (0.6250, 0.8750, 0.2500)  2 B 2.25, 2 Si 2.43
Tc (0.6250, 0.3750, 0.7500)  2 B 2.25, 2 Si 2.43
Tc (0.6250, 0.3750, 0.2500)  2 B 2.25, 2 Si 2.43
Tc (0.1250, 0.3750, 0.7500)  2 B 2.25, 2 Si 2.43
B (0.3901, 0.8901, 0.5000)  1 B 1.78
B (0.1401, 0.1401, 0.0000)  1 B 1.78
B (0.1099, 0.6099, 0.5000)  1 B 1.78
B (0.8599, 0.8599, 0.0000)  1 B 1.78



(7)
First-principles (PBE-GGA) data for crystalline SiTc2B at its relaxed geometry, as listed in the Alexandria database.

Properties
- V (Å³/atom) = 12.33
- total magnetic moment (μB/f.u.) = 0.0
- symmetry = R3m, No. 160
- energy above the lowest structure with this stoichiometry (eV per formula unit) = 0.09

Cell lengths 3.0150, 3.0150, 6.5038 Å; angles 76.60, 76.60, 60.00 degrees
Last column: nearest neighbours and their distance in Å.
Sites, in units of the cell vectors:
Si (0.5004, 0.5004, 0.4989)  6 Tc 2.50-2.51
Tc (0.0709, 0.0709, 0.7872)  3 B 2.20
Tc (0.2625, 0.2625, 0.2125)  3 B 2.19
B (0.6662, 0.6662, 0.0014)  6 Tc 2.19-2.20



(8)
First-principles (PBE-GGA) data for crystalline Th2Si2Tc2B at its relaxed geometry, as listed in the Alexandria database.

Properties
- V (Å³/atom) = 18.88
- E (eV per atom) = -8.2370
- total magnetic moment (μB/f.u.) = 0.0
- symmetry = C2/m, No. 12

Cell lengths 4.2839, 6.0404, 5.9687 Å; angles 72.59, 68.97, 69.23 degrees
Last column: nearest neighbours and their distance in Å.
Sites, in units of the cell vectors:
Th (0.5643, 0.1710, 0.7005)  2 B 2.77
Th (0.4357, 0.8290, 0.2995)  2 B 2.77
Si (0.1549, 0.3988, 0.2914)  3 Tc 2.45-2.46
Si (0.8451, 0.6012, 0.7086)  3 Tc 2.45-2.46
Tc (0.2149, 0.6782, 0.8921)  1 B 2.02
Tc (0.7851, 0.3218, 0.1079)  1 B 2.02
B (0.0000, 0.0000, 0.0000)  2 Tc 2.02



(9)
First-principles (PBE-GGA) data for crystalline ThSi2Tc2B at its relaxed geometry, as listed in the Alexandria database.

Properties
- V (Å³/atom) = 15.89
- E (eV per atom) = -8.2866
- total magnetic moment (μB/f.u.) = 0.0
- symmetry = P4/mmm, No. 123

Cell lengths 4.2358, 4.2358, 5.3151 Å; angles 90.00, 90.00, 90.00 degrees
Last column: nearest neighbours and their distance in Å.
Sites, in units of the cell vectors:
Th (0.0000, 0.0000, 0.5000)  2 B 2.66
Si (0.5000, 0.5000, 0.7324)  1 Si 2.47, 4 Tc 2.55
Si (0.5000, 0.5000, 0.2676)  1 Si 2.47, 4 Tc 2.55
Tc (0.5000, 0.0000, 0.0000)  2 B 2.12
Tc (0.0000, 0.5000, 0.0000)  2 B 2.12
B (0.0000, 0.0000, 0.0000)  4 Tc 2.12



(10)
First-principles (PBE-GGA) data for crystalline Tm2Si2Tc2B at its relaxed geometry, as listed in the Alexandria database.

Properties
- V (Å³/atom) = 17.12
- E (eV per atom) = -7.4126
- total magnetic moment (μB/f.u.) = 0.0
- symmetry = C2/m, No. 12

Cell lengths 4.0157, 5.7816, 6.0111 Å; angles 71.04, 70.49, 69.68 degrees
Last column: nearest neighbours and their distance in Å.
Sites, in units of the cell vectors:
Tm (0.5750, 0.1548, 0.6952)  2 B 2.65
Tm (0.4250, 0.8452, 0.3048)  2 B 2.65
Si (0.1381, 0.4032, 0.3206)  3 Tc 2.45-2.47, 1 Si 2.50
Si (0.8619, 0.5968, 0.6794)  3 Tc 2.45-2.47, 1 Si 2.50
Tc (0.2147, 0.6686, 0.9021)  1 B 2.00
Tc (0.7853, 0.3314, 0.0979)  1 B 2.00
B (0.0000, 0.0000, 0.0000)  2 Tc 2.00



(11)
First-principles (PBE-GGA) data for crystalline YSi2Tc2B at its relaxed geometry, as listed in the Alexandria database.

Properties
- V (Å³/atom) = 15.41
- E (eV per atom) = -8.0811
- total magnetic moment (μB/f.u.) = 0.0
- symmetry = P4/mmm, No. 123

Cell lengths 4.2129, 4.2129, 5.2106 Å; angles 90.00, 90.00, 90.00 degrees
Last column: nearest neighbours and their distance in Å.
Sites, in units of the cell vectors:
Y (0.0000, 0.0000, 0.5000)  2 B 2.61
Si (0.5000, 0.5000, 0.7318)  1 Si 2.42, 4 Tc 2.53
Si (0.5000, 0.5000, 0.2682)  1 Si 2.42, 4 Tc 2.53
Tc (0.5000, 0.0000, 0.0000)  2 B 2.11
Tc (0.0000, 0.5000, 0.0000)  2 B 2.11
B (0.0000, 0.0000, 0.0000)  4 Tc 2.11



(12)
First-principles (PBE-GGA) data for crystalline SiBTe at its relaxed geometry, as listed in the Alexandria database.

Properties
- V (Å³/atom) = 22.66
- E (eV per atom) = -4.8670
- total magnetic moment (μB/f.u.) = 0.0
- symmetry = C2/m, No. 12

Cell lengths 3.2678, 8.6518, 11.2082 Å; angles 59.13, 90.00, 90.00 degrees
Last column: nearest neighbours and their distance in Å.
Sites, in units of the cell vectors:
Te (0.0002, 0.7862, 0.9127)  1 B 2.20
Te (0.4998, 0.2862, 0.4127)  1 B 2.20
Te (0.5002, 0.7138, 0.5873)  1 B 2.20
Te (0.9998, 0.2138, 0.0873)  1 B 2.20
Si (0.0001, 0.2861, 0.8273)  3 B 2.02-2.04
Si (0.9999, 0.7139, 0.1727)  3 B 2.02-2.04
Si (0.4999, 0.7861, 0.3273)  3 B 2.02-2.04
Si (0.5001, 0.2139, 0.6727)  3 B 2.02-2.04
B (0.0001, 0.0825, 0.7853)  3 Si 2.02-2.04, 1 Te 2.20
B (0.4999, 0.5825, 0.2853)  3 Si 2.02-2.04, 1 Te 2.20
B (0.5001, 0.4175, 0.7147)  3 Si 2.02-2.04, 1 Te 2.20
B (0.9998, 0.9175, 0.2147)  3 Si 2.02-2.04, 1 Te 2.20



(13)
First-principles (PBE-GGA) data for crystalline Si3BTe at its relaxed geometry, as listed in the Alexandria database.

Properties
- V (Å³/atom) = 28.04
- total magnetic moment (μB/f.u.) = 0.0
- symmetry = Pm-3m, No. 221
- energy above the lowest structure with this stoichiometry (eV per formula unit) = 7.79

Cell lengths 5.1950, 5.1950, 5.1950 Å; angles 90.00, 90.00, 90.00 degrees
Last column: nearest neighbours and their distance in Å.
Sites, in units of the cell vectors:
Si (0.0000, 0.5000, 0.0000)  2 Te 2.60
Si (0.0000, 0.0000, 0.5000)  2 Te 2.60
Si (0.5000, 0.0000, 0.0000)  2 Te 2.60
Te (0.0000, 0.0000, 0.0000)  6 Si 2.60
B (0.5000, 0.5000, 0.5000)  12 Si 3.67



(14)
First-principles (PBE-GGA) data for crystalline SiBTe3 at its relaxed geometry, as listed in the Alexandria database.

Properties
- V (Å³/atom) = 22.83
- total magnetic moment (μB/f.u.) = 0.0
- symmetry = Pm-3m, No. 221
- energy above the lowest structure with this stoichiometry (eV per formula unit) = 0.00

Cell lengths 4.8509, 4.8509, 4.8509 Å; angles 90.00, 90.00, 90.00 degrees
Last column: nearest neighbours and their distance in Å.
Sites, in units of the cell vectors:
Si (0.5000, 0.5000, 0.5000)  12 Te 3.43
Te (0.0000, 0.5000, 0.0000)  2 B 2.43
Te (0.0000, 0.0000, 0.5000)  2 B 2.43
Te (0.5000, 0.0000, 0.0000)  2 B 2.43
B (0.0000, 0.0000, 0.0000)  6 Te 2.43



(15)
First-principles (PBE-GGA) data for crystalline Si2BTe at its relaxed geometry, as listed in the Alexandria database.

Properties
- V (Å³/atom) = 16.93
- total magnetic moment (μB/f.u.) = 0.0
- symmetry = Fm-3m, No. 225
- energy above the lowest structure with this stoichiometry (eV per formula unit) = 4.27

Cell lengths 4.5753, 4.5753, 4.5753 Å; angles 60.00, 60.00, 60.00 degrees
Last column: nearest neighbours and their distance in Å.
Sites, in units of the cell vectors:
Si (0.2500, 0.2500, 0.2500)  4 Te 2.80, 4 B 2.80
Si (0.7500, 0.7500, 0.7500)  4 Te 2.80, 4 B 2.80
Te (0.5000, 0.5000, 0.5000)  8 Si 2.80
B (0.0000, 0.0000, 0.0000)  8 Si 2.80



(16)
First-principles (PBE-GGA) data for crystalline Si3BTe at its relaxed geometry, as listed in the Alexandria database.

Properties
- V (Å³/atom) = 16.37
- total magnetic moment (μB/f.u.) = 0.0
- symmetry = Pm-3m, No. 221
- energy above the lowest structure with this stoichiometry (eV per formula unit) = 0.00

Cell lengths 4.3420, 4.3420, 4.3420 Å; angles 90.00, 90.00, 90.00 degrees
Last column: nearest neighbours and their distance in Å.
Sites, in units of the cell vectors:
Si (0.0000, 0.5000, 0.0000)  2 B 2.17
Si (0.0000, 0.0000, 0.5000)  2 B 2.17
Si (0.5000, 0.0000, 0.0000)  2 B 2.17
Te (0.5000, 0.5000, 0.5000)  12 Si 3.07
B (0.0000, 0.0000, 0.0000)  6 Si 2.17



(17)
First-principles (PBE-GGA) data for crystalline Si2BTe at its relaxed geometry, as listed in the Alexandria database.

Properties
- V (Å³/atom) = 18.87
- total magnetic moment (μB/f.u.) = 0.0
- symmetry = I-42d, No. 122
- energy above the lowest structure with this stoichiometry (eV per formula unit) = 0.00

Cell lengths 5.5537, 5.5537, 6.2751 Å; angles 63.74, 63.74, 90.00 degrees
Last column: nearest neighbours and their distance in Å.
Sites, in units of the cell vectors:
Si (0.5159, 0.1250, 0.2500)  2 B 2.01
Si (0.2341, 0.6250, 0.2500)  2 B 2.01
Si (0.3750, 0.4841, 0.7500)  2 B 2.01
Si (0.8750, 0.7659, 0.7500)  2 B 2.01
Te (0.0000, 0.0000, 0.0000)  4 Si 2.72
Te (0.7500, 0.2500, 0.5000)  4 Si 2.72
B (0.5000, 0.5000, 0.0000)  4 Si 2.01
B (0.2500, 0.7500, 0.5000)  4 Si 2.01



(18)
First-principles (PBE-GGA) data for crystalline VSiB2Te at its relaxed geometry, as listed in the Alexandria database.

Properties
- V (Å³/atom) = 19.03
- E (eV per atom) = -4.0683
- total magnetic moment (μB/f.u.) = 0.0
- symmetry = P4/mmm, No. 123

Cell lengths 4.2906, 5.1672, 4.2906 Å; angles 90.00, 90.00, 90.00 degrees
Last column: nearest neighbours and their distance in Å.
Sites, in units of the cell vectors:
Si (0.5000, 0.5000, 0.5000)  4 V 3.03, 8 B 3.36
Te (0.0000, 0.0000, 0.0000)  4 B 2.15
B (0.0000, 0.0000, 0.5000)  2 Te 2.15
B (0.5000, 0.0000, 0.0000)  2 Te 2.15
V (0.0000, 0.5000, 0.0000)  2 Te 2.58



(19)
First-principles (PBE-GGA) data for crystalline ZnSiB2Te at its relaxed geometry, as listed in the Alexandria database.

Properties
- V (Å³/atom) = 16.94
- E (eV per atom) = -3.5665
- total magnetic moment (μB/f.u.) = 0.0
- symmetry = P4/mmm, No. 123

Cell lengths 4.0334, 5.2057, 4.0334 Å; angles 90.00, 90.00, 90.00 degrees
Last column: nearest neighbours and their distance in Å.
Sites, in units of the cell vectors:
Zn (0.0000, 0.5000, 0.0000)  2 Si 2.60, 4 Te 2.85
Te (0.5000, 0.5000, 0.5000)  4 Zn 2.85
Si (0.0000, 0.0000, 0.0000)  4 B 2.02
B (0.0000, 0.0000, 0.5000)  2 Si 2.02
B (0.5000, 0.0000, 0.0000)  2 Si 2.02



(20)
First-principles (PBE-GGA) data for crystalline ThSiB at its relaxed geometry, as listed in the Alexandria database.

Properties
- V (Å³/atom) = 16.70
- total magnetic moment (μB/f.u.) = 0.0
- symmetry = P-6m2, No. 187
- energy above the lowest structure with this stoichiometry (eV per formula unit) = 0.00

Cell lengths 4.4340, 3.6119, 3.6119 Å; angles 120.00, 90.00, 90.00 degrees
Last column: nearest neighbours and their distance in Å.
Sites, in units of the cell vectors:
Si (0.1665, 0.0000, 0.0000)  3 B 2.09
B (0.1670, 0.3333, 0.6667)  3 Si 2.09
Th (0.6665, 0.6667, 0.3333)  6 B 3.04-3.05, 6 Si 3.04